First-principles (PBE) data for crystalline InBi2O at its relaxed geometry, as listed in the Alexandria database.

## Properties
Density: 7.67 g/cm3
Calculated volume: 475.5 Å³/cell
Offset from the most stable computed form: 0.000 eV per atom
E: -4.07 eV/atom
Uncorrected formation energy: -204 meV/atom

abc: 5.814 5.814 14.069
angles: 90.00 90.00 90.00
Space group I-42d (No. 122)
Unique sites:
In  0.000  0.000  0.000 (multiplicity 4)
Bi  0.126  0.250  0.625 (multiplicity 8)
O  0.000  0.000  0.500 (multiplicity 4)